{
  "formula": "La3PmTl2",
  "functional": "PBE",
  "state": "relaxed",
  "lattice_angstrom": [[-0.055, -2.604, -4.594], [6.390, 2.328, -1.396], [4.139, -8.501, 4.769]],
  "species": ["La", "La", "La", "La", "La", "La", "Pm", "Pm", "Tl", "Tl", "Tl", "Tl"],
  "fractional_positions": [[0.000, 0.417, 0.945], [0.000, 0.917, 0.055], [0.500, 0.699, 0.181], [0.500, 0.199, 0.819], [0.000, 0.322, 0.312], [0.000, 0.822, 0.688], [0.500, 0.556, 0.543], [0.500, 0.056, 0.457], [0.500, 0.708, 0.863], [0.500, 0.208, 0.137], [0.000, 0.297, 0.624], [0.000, 0.797, 0.376]],
  "sg": "Pmc2_1, No. 26",
  "relative_energy_mev_per_atom": 0.0,
  "formation_energy_ev_per_atom": -0.300,
  "n_ef_per_ev_cell": 14.83
}



{
  "formula": "La3SmTm2Se6",
  "functional": "PBE",
  "state": "relaxed",
  "lattice_angstrom": [[7.201, -0.011, -0.002], [-3.608, 6.232, -0.002], [-1.200, -2.079, 6.960]],
  "species": ["La", "La", "La", "Sm", "Tm", "Tm", "Se", "Se", "Se", "Se", "Se", "Se"],
  "fractional_positions": [[0.162, 0.838, 0.500], [0.838, 0.162, 0.500], [0.500, 0.500, 0.500], [0.000, 0.000, 0.000], [0.333, 0.667, 0.000], [0.667, 0.333, 0.000], [0.923, 0.580, 0.769], [0.733, 0.733, 0.227], [0.077, 0.420, 0.231], [0.580, 0.923, 0.769], [0.267, 0.267, 0.773], [0.420, 0.077, 0.231]],
  "e_form_raw_mev_per_atom": -1866,
  "sg": "C2/m, No. 12",
  "n_ef_per_ev_cell": 6.26
}



{
  "formula": "CaNiGe",
  "functional": "PBE",
  "state": "relaxed",
  "lattice_angstrom": [[-2.238, 3.539, -0.125], [-2.264, -1.315, 3.270], [4.336, 2.889, 4.164]],
  "species": ["Ni", "Ni", "Ge", "Ge", "Ca", "Ca"],
  "fractional_positions": [[0.000, 0.000, 0.500], [0.500, 0.500, 0.500], [0.000, 0.500, 0.315], [0.500, 0.000, 0.685], [0.000, 0.500, 0.821], [0.500, 0.000, 0.179]],
  "sg": "P4/nmm, No. 129",
  "formation_energy_ev_per_atom": -0.553,
  "n_ef_per_ev_cell": 3.98
}



{
  "formula": "Dy6TlSe4",
  "functional": "PBE",
  "state": "relaxed",
  "lattice_angstrom": [[4.044, 0.000, 0.000], [-2.022, 6.784, 0.000], [0.000, 0.000, 20.776]],
  "species": ["Dy", "Dy", "Dy", "Dy", "Dy", "Dy", "Dy", "Dy", "Dy", "Dy", "Dy", "Dy", "Tl", "Tl", "Se", "Se", "Se", "Se", "Se", "Se", "Se", "Se"],
  "fractional_positions": [[0.500, 0.000, 0.000], [0.500, 0.000, 0.500], [0.046, 0.092, 0.337], [0.954, 0.908, 0.663], [0.954, 0.908, 0.837], [0.046, 0.092, 0.163], [0.772, 0.543, 0.414], [0.228, 0.457, 0.586], [0.228, 0.457, 0.914], [0.772, 0.543, 0.086], [0.345, 0.690, 0.250], [0.655, 0.310, 0.750], [0.670, 0.341, 0.250], [0.330, 0.659, 0.750], [0.862, 0.723, 0.540], [0.411, 0.821, 0.123], [0.138, 0.277, 0.460], [0.589, 0.179, 0.877], [0.862, 0.723, 0.960], [0.138, 0.277, 0.040], [0.589, 0.179, 0.623], [0.411, 0.821, 0.377]],
  "e_form_raw_mev_per_atom": -1358,
  "sg": "Cmcm, No. 63",
  "n_ef_per_ev_cell": 15.93
}